Entry 1:
Density functional theory data (PBE) for Sm5Tm6Pu after structural relaxation.

abc: 6.1398 6.1398 11.6128
angles: 95.05 95.05 120.00
With the nearest neighbours (Å) after each atom.
Fractional positions:
Sm 0.0000 0.0000 0.0000  6 Tm 3.53-3.55, 6 Sm 3.54-3.55
Sm 0.1666 0.8334 0.5000  6 Tm 3.50, 3 Sm 3.54-3.55, 3 Pu 3.54-3.55
Sm 0.3327 0.6673 0.0000  6 Tm 3.53-3.55, 6 Sm 3.54-3.56
Sm 0.6673 0.3327 0.0000  6 Tm 3.53-3.55, 6 Sm 3.54-3.56
Sm 0.8334 0.1666 0.5000  6 Tm 3.50, 3 Sm 3.54-3.55, 3 Pu 3.54-3.55
Tm 0.0890 0.4178 0.2525  1 Pu 3.48, 6 Tm 3.50-3.57, 5 Sm 3.50-3.55
Tm 0.2534 0.2534 0.7476  1 Pu 3.48, 6 Tm 3.50-3.57, 5 Sm 3.50-3.55
Tm 0.4178 0.0890 0.2525  1 Pu 3.48, 6 Tm 3.50-3.57, 5 Sm 3.50-3.55
Tm 0.5822 0.9110 0.7475  1 Pu 3.48, 6 Tm 3.50-3.57, 5 Sm 3.50-3.55
Tm 0.7466 0.7466 0.2524  1 Pu 3.48, 6 Tm 3.50-3.57, 5 Sm 3.50-3.55
Tm 0.9110 0.5822 0.7475  1 Pu 3.48, 6 Tm 3.50-3.57, 5 Sm 3.50-3.55
Pu 0.5000 0.5000 0.5000  6 Tm 3.48, 6 Sm 3.54-3.55

Values from the calculation:
Space group: C2/m
Crystal system: monoclinic
Magnetic moment, μB per cell: 6.38
E_form, eV per atom: 0.043

***

Entry 2:
Density functional theory data (PBE) for Sm6Y2Tm3Pu after structural relaxation.

abc: 6.1927 6.1927 11.7265
angles: 95.05 95.05 120.01
With the nearest neighbours (Å) after each atom.
Fractional positions:
Sm 0.0832 0.4127 0.7507  3 Tm 3.53-3.55, 6 Sm 3.53-3.60, 1 Pu 3.54, 2 Y 3.56
Sm 0.2463 0.2463 0.2494  6 Sm 3.53-3.60, 3 Tm 3.54-3.56, 1 Pu 3.54, 2 Y 3.56
Sm 0.4127 0.0832 0.7507  3 Tm 3.53-3.55, 6 Sm 3.53-3.60, 1 Pu 3.54, 2 Y 3.56
Sm 0.5873 0.9168 0.2493  3 Tm 3.53-3.55, 6 Sm 3.53-3.60, 1 Pu 3.54, 2 Y 3.56
Sm 0.7537 0.7537 0.7506  6 Sm 3.53-3.60, 3 Tm 3.54-3.56, 1 Pu 3.54, 2 Y 3.56
Sm 0.9168 0.5873 0.2493  3 Tm 3.53-3.55, 6 Sm 3.53-3.60, 1 Pu 3.54, 2 Y 3.56
Y 0.3334 0.6666 0.5000  6 Sm 3.56, 3 Y 3.57-3.58, 3 Pu 3.57-3.58
Y 0.6666 0.3334 0.5000  6 Sm 3.56, 3 Y 3.57-3.58, 3 Pu 3.57-3.58
Tm 0.1668 0.8332 0.0000  6 Sm 3.53-3.55, 6 Tm 3.57-3.58
Tm 0.5000 0.5000 0.0000  6 Sm 3.53-3.56, 6 Tm 3.57-3.58
Tm 0.8332 0.1668 0.0000  6 Sm 3.53-3.55, 6 Tm 3.57-3.58
Pu 0.0000 0.0000 0.5000  6 Sm 3.54, 6 Y 3.57-3.58

Values from the calculation:
Space group: C2/m
Crystal system: monoclinic
Magnetic moment, μB per cell: 6.67
E_form, eV per atom: 0.047

***

Entry 3:
Density functional theory data (PBE) for Sm3Y2Tm6Pu after structural relaxation.

abc: 6.1175 6.1175 11.6211
angles: 95.04 95.04 120.00
With the nearest neighbours (Å) after each atom.
Fractional positions:
Sm 0.0000 0.0000 0.0000  6 Sm 3.52-3.54, 6 Tm 3.53-3.56
Sm 0.3326 0.6674 0.0000  6 Sm 3.52-3.55, 6 Tm 3.53-3.56
Sm 0.6674 0.3326 0.0000  6 Sm 3.52-3.55, 6 Tm 3.53-3.56
Y 0.1666 0.8334 0.5000  6 Tm 3.49, 3 Y 3.53, 3 Pu 3.53
Y 0.8334 0.1666 0.5000  6 Tm 3.49, 3 Y 3.53, 3 Pu 3.53
Tm 0.0890 0.4176 0.2532  1 Pu 3.47, 6 Tm 3.48-3.56, 2 Y 3.49, 3 Sm 3.53-3.56
Tm 0.2536 0.2536 0.7470  1 Pu 3.47, 6 Tm 3.48-3.56, 2 Y 3.49, 3 Sm 3.54-3.56
Tm 0.4176 0.0890 0.2532  1 Pu 3.47, 6 Tm 3.48-3.56, 2 Y 3.49, 3 Sm 3.53-3.56
Tm 0.5824 0.9110 0.7468  1 Pu 3.47, 6 Tm 3.48-3.56, 2 Y 3.49, 3 Sm 3.53-3.56
Tm 0.7464 0.7464 0.2530  1 Pu 3.47, 6 Tm 3.48-3.56, 2 Y 3.49, 3 Sm 3.54-3.56
Tm 0.9110 0.5824 0.7468  1 Pu 3.47, 6 Tm 3.48-3.56, 2 Y 3.49, 3 Sm 3.53-3.56
Pu 0.5000 0.5000 0.5000  6 Tm 3.47, 6 Y 3.53

Values from the calculation:
Space group: C2/m
Crystal system: monoclinic
Magnetic moment, μB per cell: 6.47
E_form, eV per atom: 0.046

***

Entry 4:
Density functional theory data (PBE) for SmYTmPu after structural relaxation.

abc: 5.6085 5.6085 5.6085
angles: 60.00 60.00 60.00
With the nearest neighbours (Å) after each atom.
Fractional positions:
Sm 0.0000 0.0000 0.0000  4 Tm 3.43, 4 Y 3.43
Y 0.2500 0.2500 0.2500  4 Pu 3.43, 4 Sm 3.43
Tm 0.7500 0.7500 0.7500  4 Sm 3.43, 4 Pu 3.43
Pu 0.5000 0.5000 0.5000  4 Tm 3.43, 4 Y 3.43

Values from the calculation:
Space group: F-43m
Crystal system: cubic
Magnetic moment, μB per cell: 6.36
E_form, eV per atom: 0.201

***

Entry 5:
Density functional theory data (PBE) for Sm3Y6Tm2Pu after structural relaxation.

abc: 6.1638 6.1638 11.7554
angles: 95.03 95.03 120.00
With the nearest neighbours (Å) after each atom.
Fractional positions:
Sm 0.0000 0.0000 0.0000  6 Sm 3.55-3.56, 6 Y 3.59-3.61
Sm 0.3328 0.6672 0.0000  6 Sm 3.55-3.57, 6 Y 3.59-3.60
Sm 0.6672 0.3328 0.0000  6 Sm 3.55-3.57, 6 Y 3.59-3.60
Y 0.0885 0.4183 0.2548  1 Pu 3.49, 2 Tm 3.51, 6 Y 3.52-3.58, 3 Sm 3.59-3.60
Y 0.2517 0.2517 0.7452  1 Pu 3.49, 2 Tm 3.51, 6 Y 3.52-3.58, 3 Sm 3.59-3.61
Y 0.4183 0.0885 0.2548  1 Pu 3.49, 2 Tm 3.51, 6 Y 3.52-3.58, 3 Sm 3.59-3.60
Y 0.5817 0.9115 0.7452  1 Pu 3.49, 2 Tm 3.51, 6 Y 3.52-3.58, 3 Sm 3.59-3.60
Y 0.7483 0.7483 0.2548  1 Pu 3.49, 2 Tm 3.51, 6 Y 3.52-3.58, 3 Sm 3.59-3.61
Y 0.9115 0.5817 0.7452  1 Pu 3.49, 2 Tm 3.51, 6 Y 3.52-3.58, 3 Sm 3.59-3.60
Tm 0.1666 0.8334 0.5000  6 Y 3.51, 3 Tm 3.56, 3 Pu 3.56
Tm 0.8334 0.1666 0.5000  6 Y 3.51, 3 Tm 3.56, 3 Pu 3.56
Pu 0.5000 0.5000 0.5000  6 Y 3.49, 6 Tm 3.56

Values from the calculation:
Space group: C2/m
Crystal system: monoclinic
Magnetic moment, μB per cell: 6.58
E_form, eV per atom: 0.048

***

Entry 6:
Density functional theory data (PBE) for SmPuU after structural relaxation.

abc: 8.3997 8.3997 5.1060
angles: 90.00 90.00 154.38
With the nearest neighbours (Å) after each atom.
Fractional positions:
Sm 0.0698 0.9302 0.7500  4 Pu 3.37, 4 Sm 3.43-3.72, 2 U 3.57
Sm 0.9302 0.0698 0.2500  4 Pu 3.37, 4 Sm 3.43-3.72, 2 U 3.57
Pu 0.3591 0.6409 0.7500  2 U 2.52
Pu 0.6409 0.3591 0.2500  2 U 2.52
U 0.2443 0.7557 0.2500  2 Pu 2.52
U 0.7557 0.2443 0.7500  2 Pu 2.52

Values from the calculation:
Space group: Cmcm
Crystal system: orthorhombic
Magnetic moment, μB per cell: 7.81
E_form, eV per atom: 0.117
Offset from the most stable computed form, eV/atom: 0.0000

***

Among the records above, which one has the lowest E_form?
Sm5Tm6Pu

***

Repeat the fourth record exactly.
Density functional theory data (PBE) for SmYTmPu after structural relaxation.

abc: 5.6085 5.6085 5.6085
angles: 60.00 60.00 60.00
With the nearest neighbours (Å) after each atom.
Fractional positions:
Sm 0.0000 0.0000 0.0000  4 Tm 3.43, 4 Y 3.43
Y 0.2500 0.2500 0.2500  4 Pu 3.43, 4 Sm 3.43
Tm 0.7500 0.7500 0.7500  4 Sm 3.43, 4 Pu 3.43
Pu 0.5000 0.5000 0.5000  4 Tm 3.43, 4 Y 3.43

Values from the calculation:
Space group: F-43m
Crystal system: cubic
Magnetic moment, μB per cell: 6.36
E_form, eV per atom: 0.201

***

The highest E_form belongs to which entry?
SmYTmPu